Below is a geometry-optimized LaErHgRu structure, with properties calculated at the PBE level.

- Excess energy over the best structure of this formula in the dataset: 0 meV/atom
- Spin magnetization: 0.0000 μB per atom
- Total energy: -20.724 eV for the cell shown
- Formation energy: -40.0 kJ per mole of atoms

abc: 3.522 3.522 7.754
angles: 90.00 90.00 90.00
Positions (direct):
1 Er 0.500 0.500 0.349
2 Ru 0.000 0.000 0.552
3 La 0.500 0.500 0.789
4 Hg 0.000 0.000 0.095